(1)
Entry from the Alexandria database: a relaxed structure of CsPPbI2F6 (PBE-GGA).

It has space group P4/mmm (No. 123), with a = 6.272 Å, b = 6.272 Å, c = 8.581 Å, α = 90.00°, β = 90.00° and γ = 90.00°. The inequivalent atoms are Cs at (0.000, 0.000, 0.000), P at (0.500, 0.500, 0.000), Pb at (0.500, 0.500, 0.500), I at (0.000, 0.500, 0.500), F at (0.239, 0.500, 0.000) and F at (0.500, 0.500, 0.192).

Its final energy is -4.348 eV/atom.

=====

(2)
Entry from the Alexandria database: a relaxed structure of Cs2PaI2F4 (PBE-GGA).

It has space group I4/mmm (No. 139), with a = 7.812 Å, b = 7.812 Å, c = 10.605 Å, α = 90.00°, β = 90.00° and γ = 90.00°. The inequivalent atoms are Cs at (0.000, 0.500, 0.250), Pa at (0.000, 0.000, 0.000), I at (0.000, 0.000, 0.297) and F at (0.195, 0.195, 0.000).

Its final energy is -5.120 eV/atom.

=====

(3)
Entry from the Alexandria database: a relaxed structure of Cs2PaI4F2 (PBE-GGA).

It has space group C2/m (No. 12), with a = 13.427 Å, b = 8.934 Å, c = 6.666 Å, α = 90.00°, β = 103.38° and γ = 90.00°. The inequivalent atoms are Cs at (0.175, 0.000, 0.333), Pa at (0.000, 0.500, 0.000), I at (0.101, 0.247, 0.798) and F at (0.128, 0.500, 0.252).

Its final energy is -4.366 eV/atom.

=====

(4)
Entry from the Alexandria database: a relaxed structure of Cs2PaI5F (PBE-GGA).

It has space group I4mm (No. 107), with a = 8.815 Å, b = 8.815 Å, c = 11.512 Å, α = 90.00°, β = 90.00° and γ = 90.00°. The inequivalent atoms are Cs at (0.000, 0.500, 0.000), Pa at (0.000, 0.000, 0.248), I at (0.000, 0.000, 0.511), I at (0.247, 0.247, 0.250) and F at (0.000, 0.000, 0.067).

Its final energy is -3.965 eV/atom.

=====

(5)
Entry from the Alexandria database: a relaxed structure of Cs2PbI2F2 (PBE-GGA).

It has space group I4/mmm (No. 139), with a = 5.137 Å, b = 5.137 Å, c = 19.217 Å, α = 90.00°, β = 90.00° and γ = 90.00°. The inequivalent atoms are Cs at (0.000, 0.000, 0.116), Pb at (0.000, 0.000, 0.500), I at (0.000, 0.000, 0.330) and F at (0.000, 0.500, 0.000).

Its final energy is -3.612 eV/atom.

=====

(6)
Entry from the Alexandria database: a relaxed structure of CsPbI2F (PBE-GGA).

It has space group P4/mmm (No. 123), with a = 6.555 Å, b = 6.555 Å, c = 4.797 Å, α = 90.00°, β = 90.00° and γ = 90.00°. The inequivalent atoms are Cs at (0.000, 0.000, 0.000), Pb at (0.500, 0.500, 0.500), I at (0.000, 0.500, 0.500) and F at (0.500, 0.500, 0.000).

Its final energy is -3.406 eV/atom.

=====

(7)
Entry from the Alexandria database: a relaxed structure of CsPbIF2 (PBE-GGA).

It has space group P4/mmm (No. 123), with a = 5.061 Å, b = 5.061 Å, c = 6.520 Å, α = 90.00°, β = 90.00° and γ = 90.00°. The inequivalent atoms are Cs at (0.000, 0.000, 0.000), Pb at (0.500, 0.500, 0.500), I at (0.500, 0.500, 0.000) and F at (0.000, 0.500, 0.500).

Its final energy is -3.869 eV/atom.

=====

(8)
Entry from the Alexandria database: a relaxed structure of CsPb2IF4 (PBE-GGA).

It has space group P4/mmm (No. 123), with a = 4.253 Å, b = 4.253 Å, c = 11.038 Å, α = 90.00°, β = 90.00° and γ = 90.00°. The inequivalent atoms are Cs at (0.000, 0.000, 0.000), Pb at (0.500, 0.500, 0.299), I at (0.000, 0.000, 0.500) and F at (0.000, 0.500, 0.196).

Its final energy is -4.313 eV/atom.

=====

(9)
Entry from the Alexandria database: a relaxed structure of Cs2PdI2F4 (PBE-GGA).

It has space group I4/mmm (No. 139), with a = 7.594 Å, b = 7.594 Å, c = 8.657 Å, α = 90.00°, β = 90.00° and γ = 90.00°. The inequivalent atoms are Cs at (0.000, 0.500, 0.250), Pd at (0.000, 0.000, 0.000), I at (0.000, 0.000, 0.335) and F at (0.185, 0.185, 0.000).

Its final energy is -3.598 eV/atom.

=====

(10)
Entry from the Alexandria database: a relaxed structure of Cs2PtI2F4 (PBE-GGA).

It has space group I4/mmm (No. 139), with a = 7.640 Å, b = 7.640 Å, c = 8.878 Å, α = 90.00°, β = 90.00° and γ = 90.00°. The inequivalent atoms are Cs at (0.000, 0.500, 0.250), Pt at (0.000, 0.000, 0.000), I at (0.000, 0.000, 0.303) and F at (0.185, 0.185, 0.000).

Its final energy is -3.706 eV/atom.

=====

(11)
Entry from the Alexandria database: a relaxed structure of Cs2PtIF (PBE-GGA).

It has space group P4/mmm (No. 123), with a = 7.218 Å, b = 7.218 Å, c = 4.999 Å, α = 90.00°, β = 90.00° and γ = 90.00°. The inequivalent atoms are Cs at (0.000, 0.500, 0.000), Pt at (0.000, 0.000, 0.500), I at (0.000, 0.000, 0.000) and F at (0.500, 0.500, 0.500).

Its final energy is -3.075 eV/atom.

=====

(12)
Entry from the Alexandria database: a relaxed structure of Cs2PtI6F (PBE-GGA).

It has space group I4/mmm (No. 139), with a = 7.786 Å, b = 7.786 Å, c = 12.438 Å, α = 90.00°, β = 90.00° and γ = 90.00°. The inequivalent atoms are Cs at (0.000, 0.500, 0.250), Pt at (0.000, 0.000, 0.000), I at (0.000, 0.000, 0.217), I at (0.249, 0.249, 0.000) and F at (0.000, 0.000, 0.500).

Its final energy is -2.729 eV/atom.